Model w:
Below is a relaxed PrHo2Er7 crystal, with properties calculated at the PBE-GGA level.

## Properties
DOS at the Fermi energy ... 14.32 states/eV/f.u.
M_tot ... 0.00 μB per formula unit
SG ... Cmmm (65)

a = 9.1089 Å, b = 9.1089 Å, c = 5.5829 Å
α = 90.00°, β = 90.00°, γ = 123.06°
Sites, in units of the cell vectors:
Pr 0.0000 0.0000 0.0000
Ho 0.2968 0.7032 0.5000
Ho 0.7032 0.2968 0.5000
Er 0.0610 0.2920 0.5000
Er 0.2163 0.7837 0.0000
Er 0.2920 0.0610 0.5000
Er 0.5000 0.5000 0.5000
Er 0.7080 0.9390 0.5000
Er 0.7837 0.2163 0.0000
Er 0.9390 0.7080 0.5000

=====

Model x:
Below is a relaxed PrHo2Er7 crystal, with properties calculated at the PBE-GGA level.

## Properties
DOS at the Fermi energy ... 13.93 states/eV/f.u.
M_tot ... 0.00 μB per formula unit
SG ... P-1 (2)

a = 6.1067 Å, b = 7.0680 Å, c = 7.8788 Å
α = 77.14°, β = 75.06°, γ = 73.30°
Sites, in units of the cell vectors:
Pr 0.0000 0.0000 0.0000
Ho 0.1997 0.3010 0.5993
Ho 0.8003 0.6990 0.4007
Er 0.0000 0.5000 0.0000
Er 0.2010 0.7991 0.5992
Er 0.3998 0.1002 0.2012
Er 0.4012 0.5984 0.2014
Er 0.5988 0.4016 0.7986
Er 0.6002 0.8998 0.7988
Er 0.7990 0.2009 0.4008

=====

Last place for stability: model w

=====

Model w:
Below is a relaxed Pr2HoEr8 crystal, with properties calculated at the PBE-GGA level.

## Properties
DOS at the Fermi energy ... 15.35 states/eV/f.u.
M_tot ... 0.00 μB per formula unit
SG ... P-1 (2)

a = 6.1379 Å, b = 6.1429 Å, c = 9.3834 Å
α = 90.09°, β = 96.28°, γ = 99.57°
Sites, in units of the cell vectors:
Pr 0.1378 0.2737 0.0460
Pr 0.8622 0.7263 0.9540
Ho 0.5000 0.0000 0.5000
Er 0.0443 0.0927 0.6783
Er 0.2277 0.4544 0.4102
Er 0.3174 0.6385 0.7684
Er 0.4118 0.8191 0.1396
Er 0.5882 0.1809 0.8604
Er 0.6826 0.3615 0.2316
Er 0.7723 0.5456 0.5898
Er 0.9557 0.9073 0.3217

=====

Model x:
Below is a relaxed Pr2HoEr8 crystal, with properties calculated at the PBE-GGA level.

## Properties
DOS at the Fermi energy ... 14.23 states/eV/f.u.
M_tot ... 0.01 μB per formula unit
SG ... C2/m (12)

a = 9.1645 Å, b = 9.1645 Å, c = 5.8717 Å
α = 105.51°, β = 105.51°, γ = 121.03°
Sites, in units of the cell vectors:
Pr 0.1937 0.8063 0.0000
Pr 0.8063 0.1937 0.0000
Ho 0.5000 0.5000 0.5000
Er 0.0717 0.0717 0.2974
Er 0.1715 0.4019 0.8281
Er 0.2926 0.7074 0.5000
Er 0.4019 0.1715 0.8281
Er 0.5981 0.8285 0.1719
Er 0.7074 0.2926 0.5000
Er 0.8285 0.5981 0.1719
Er 0.9283 0.9283 0.7026

=====

Last place for stability: model x